Crystalline Th4Sb3Pt at its relaxed geometry. Source: Alexandria via LeMat-Bulk, functional PBE-GGA.

Lattice parameters (Å, degrees): 7.5891 7.7916 8.9251 90.00 90.00 109.24
Last column: nearest neighbours and their distance in Å.
Sites, in units of the cell vectors:
Sb (0.7500, 0.0000, 0.3745)  6 Th 3.14-3.17
Sb (0.7500, 0.5000, 0.6218)  6 Th 3.14-3.33
Th (0.5129, 0.7617, 0.6367)  1 Pt 3.00, 5 Sb 3.14-3.28
Pt (0.7500, 0.0000, 0.8748)  6 Th 2.92-3.01
Th (0.9871, 0.2383, 0.6367)  1 Pt 3.00, 5 Sb 3.14-3.28
Sb (0.2500, 0.5000, 0.3782)  6 Th 3.14-3.33
Th (0.5067, 0.2227, 0.8883)  2 Pt 2.92-3.01, 2 Sb 3.16-3.17
Pt (0.2500, 0.0000, 0.1252)  6 Th 2.92-3.01
Th (0.9933, 0.7773, 0.8883)  2 Pt 2.92-3.01, 2 Sb 3.16-3.17
Sb (0.2500, 0.5000, 0.8733)  6 Th 3.15-3.35
Sb (0.2500, 0.0000, 0.6255)  6 Th 3.14-3.17
Th (0.0129, 0.7617, 0.3633)  1 Pt 3.00, 5 Sb 3.14-3.28
Th (0.0067, 0.2227, 0.1117)  2 Pt 2.92-3.01, 2 Sb 3.16-3.17
Th (0.4871, 0.2383, 0.3633)  1 Pt 3.00, 5 Sb 3.14-3.28
Sb (0.7500, 0.5000, 0.1267)  6 Th 3.15-3.35
Th (0.4933, 0.7773, 0.1117)  2 Pt 2.92-3.01, 2 Sb 3.16-3.17

Output
SG: P2/c (13)
Total moment in μB/atom: 0.00
Fermi-level density of states in states/eV/atom: 0.7076



Crystalline ThSbPt at its relaxed geometry. Source: Alexandria via LeMat-Bulk, functional PBE-GGA.

Lattice parameters (Å, degrees): 5.4967 3.6655 8.4708 102.50 108.93 90.00
Last column: nearest neighbours and their distance in Å.
Sites, in units of the cell vectors:
Pt (0.1602, 0.6602, 0.3205)  1 Th 2.75, 2 Sb 2.86
Sb (0.2542, 0.5000, 0.0000)  2 Sb 2.70-2.79, 2 Pt 2.86
Sb (0.7458, 0.5000, 0.0000)  2 Sb 2.70-2.79, 2 Pt 2.86
Pt (0.8398, 0.3398, 0.6795)  1 Th 2.75, 2 Sb 2.86
Th (0.6632, 0.1632, 0.3264)  1 Pt 2.75
Th (0.3368, 0.8368, 0.6736)  1 Pt 2.75

Output
SG: Immm (71)
Total moment in μB/atom: 0.00
Fermi-level density of states in states/eV/atom: 0.4879



Crystalline Th3Sb2Pt at its relaxed geometry. Source: Alexandria via LeMat-Bulk, functional PBE-GGA.

Lattice parameters (Å, degrees): 6.3441 8.4926 7.7830 105.82 114.05 90.00
Last column: nearest neighbours and their distance in Å.
Sites, in units of the cell vectors:
Th (0.1461, 0.5729, 0.2919)  2 Pt 2.90, 4 Sb 3.20-3.21
Sb (0.6763, 0.0882, 0.3529)  6 Th 3.20-3.21
Th (0.1459, 0.0729, 0.2919)  2 Pt 2.90, 4 Sb 3.20-3.21
Pt (0.9997, 0.7500, 0.0000)  6 Th 2.90-3.17
Th (0.8539, 0.4271, 0.7081)  2 Pt 2.90, 4 Sb 3.20-3.21
Sb (0.3237, 0.9118, 0.6471)  6 Th 3.20-3.21
Sb (0.3234, 0.4118, 0.6471)  6 Th 3.20-3.21
Th (0.5001, 0.2500, 0.0000)  2 Pt 3.17, 4 Sb 3.20
Th (0.4999, 0.7500, 0.0000)  2 Pt 3.17, 4 Sb 3.20
Th (0.8541, 0.9271, 0.7081)  2 Pt 2.90, 4 Sb 3.20-3.21
Pt (0.0003, 0.2500, 0.0000)  6 Th 2.90-3.17
Sb (0.6766, 0.5882, 0.3529)  6 Th 3.20-3.21

Output
ΔE to the lowest computed polymorph in meV per atom: 17
SG: Immm (71)
Total moment in μB/atom: 0.00
Fermi-level density of states in states/eV/atom: 1.0394



Crystalline Th7Sb2Pt2 at its relaxed geometry. Source: Alexandria via LeMat-Bulk, functional PBE-GGA.

Lattice parameters (Å, degrees): 7.1445 6.8891 7.1445 90.02 102.02 89.98
Last column: nearest neighbours and their distance in Å.
Sites, in units of the cell vectors:
Th (0.9998, 0.2686, 0.5003)  2 Pt 2.91, 1 Th 3.19, 1 Sb 3.26
Sb (0.1806, 0.5000, 0.1806)  1 Sb 3.25, 6 Th 3.26-3.33
Th (0.4998, 0.2539, 0.5002)  2 Pt 3.18, 2 Sb 3.33, 2 Th 3.39-3.50
Pt (0.7389, 0.0000, 0.2611)  7 Th 2.90-3.18
Th (0.5003, 0.7314, 0.9998)  2 Pt 2.91, 1 Th 3.19, 1 Sb 3.26
Th (0.5002, 0.7461, 0.4998)  2 Pt 3.18, 2 Sb 3.33, 2 Th 3.39-3.50
Th (0.0002, 0.7314, 0.4997)  2 Pt 2.91, 1 Th 3.19, 1 Sb 3.26
Pt (0.2611, 0.0000, 0.7389)  7 Th 2.90-3.18
Th (0.0000, 0.0000, 0.0000)  2 Pt 2.90
Th (0.4997, 0.2686, 0.0002)  2 Pt 2.91, 1 Th 3.19, 1 Sb 3.26
Sb (0.8194, 0.5000, 0.8194)  1 Sb 3.25, 6 Th 3.26-3.33

Output
SG: Cmmm (65)
Total moment in μB/atom: 0.00
Fermi-level density of states in states/eV/atom: 1.3654



Crystalline Th2SbPt at its relaxed geometry. Source: Alexandria via LeMat-Bulk, functional PBE-GGA.

Lattice parameters (Å, degrees): 4.2247 4.2247 7.9984 74.69 74.69 60.00
Last column: nearest neighbours and their distance in Å.
Sites, in units of the cell vectors:
Sb (0.0000, 0.0000, 0.0000)  6 Th 3.24
Pt (0.5000, 0.5000, 0.5000)  6 Th 2.96
Th (0.2402, 0.2402, 0.2793)  3 Pt 2.96, 3 Sb 3.24
Th (0.7598, 0.7598, 0.7207)  3 Pt 2.96, 3 Sb 3.24

Output
SG: R-3m (166)
Total moment in μB/atom: 0.00
Fermi-level density of states in states/eV/atom: 0.7396



Crystalline ThSbPt5 at its relaxed geometry. Source: Alexandria via LeMat-Bulk, functional PBE-GGA.

Lattice parameters (Å, degrees): 5.5659 8.8695 10.8446 90.00 90.00 90.00
Last column: nearest neighbours and their distance in Å.
Sites, in units of the cell vectors:
Pt (0.2500, 0.5784, 0.0199)  6 Pt 2.79-3.02, 1 Th 3.00, 1 Sb 3.05
Pt (0.0065, 0.5726, 0.7953)  7 Pt 2.70-2.86, 2 Sb 2.82-2.85
Pt (0.4935, 0.5726, 0.7953)  7 Pt 2.70-2.86, 2 Sb 2.82-2.85
Pt (0.9935, 0.4274, 0.2047)  7 Pt 2.70-2.86, 2 Sb 2.82-2.85
Pt (0.5065, 0.4274, 0.2047)  7 Pt 2.70-2.86, 2 Sb 2.82-2.85
Pt (0.0065, 0.0726, 0.7047)  7 Pt 2.70-2.86, 2 Sb 2.82-2.85
Pt (0.9935, 0.9274, 0.2953)  7 Pt 2.70-2.86, 2 Sb 2.82-2.85
Sb (0.2500, 0.3459, 0.6570)  7 Pt 2.56-2.87
Sb (0.7500, 0.6541, 0.3430)  7 Pt 2.56-2.87
Pt (0.2500, 0.9128, 0.0729)  1 Sb 2.56, 3 Pt 2.78-2.81
Pt (0.7500, 0.9216, 0.5199)  6 Pt 2.79-3.02, 1 Th 3.00, 1 Sb 3.05
Pt (0.5065, 0.9274, 0.2953)  7 Pt 2.70-2.86, 2 Sb 2.82-2.85
Sb (0.2500, 0.8459, 0.8430)  7 Pt 2.56-2.87
Th (0.7500, 0.7508, 0.0457)  7 Pt 2.96-3.25
Pt (0.2500, 0.6700, 0.2806)  6 Pt 2.70-2.94, 2 Sb 2.87, 1 Th 2.96
Pt (0.7500, 0.3300, 0.7194)  6 Pt 2.70-2.94, 2 Sb 2.87, 1 Th 2.96
Pt (0.7500, 0.5872, 0.5729)  1 Sb 2.56, 3 Pt 2.78-2.81
Th (0.2500, 0.2492, 0.9543)  7 Pt 2.96-3.25
Pt (0.7500, 0.0872, 0.9271)  1 Sb 2.56, 3 Pt 2.78-2.81
Pt (0.7500, 0.4216, 0.9801)  6 Pt 2.79-3.02, 1 Th 3.00, 1 Sb 3.05
Th (0.7500, 0.2508, 0.4543)  7 Pt 2.96-3.25
Th (0.2500, 0.7492, 0.5457)  7 Pt 2.96-3.25
Pt (0.4935, 0.0726, 0.7047)  7 Pt 2.70-2.86, 2 Sb 2.82-2.85
Pt (0.7500, 0.8300, 0.7806)  6 Pt 2.70-2.94, 2 Sb 2.87, 1 Th 2.96
Pt (0.2500, 0.1700, 0.2194)  6 Pt 2.70-2.94, 2 Sb 2.87, 1 Th 2.96
Pt (0.2500, 0.0784, 0.4801)  6 Pt 2.79-3.02, 1 Th 3.00, 1 Sb 3.05
Pt (0.2500, 0.4128, 0.4271)  1 Sb 2.56, 3 Pt 2.78-2.81
Sb (0.7500, 0.1541, 0.1570)  7 Pt 2.56-2.87

Output
SG: Pnma (62)
Total moment in μB/atom: 0.00
Fermi-level density of states in states/eV/atom: 0.4640



Crystalline Th3Sb2Pt at its relaxed geometry. Source: Alexandria via LeMat-Bulk, functional PBE-GGA.

Lattice parameters (Å, degrees): 7.5638 7.5638 7.7915 99.48 99.48 119.73
Last column: nearest neighbours and their distance in Å.
Sites, in units of the cell vectors:
Sb (0.4872, 0.5128, 0.5000)  6 Th 3.19-3.30
Th (0.7655, 0.7437, 0.2310)  2 Pt 2.95-2.99, 4 Sb 3.18-3.30
Th (0.4104, 0.0988, 0.2310)  2 Pt 2.95-2.99, 4 Sb 3.18-3.30
Th (0.0514, 0.3848, 0.2216)  2 Pt 2.96, 4 Sb 3.13-3.21
Th (0.2563, 0.2346, 0.7690)  2 Pt 2.95-2.99, 4 Sb 3.18-3.30
Th (0.9012, 0.5896, 0.7690)  2 Pt 2.95-2.99, 4 Sb 3.18-3.30
Pt (0.6641, 0.3359, 0.0000)  6 Th 2.95-2.99
Sb (0.3333, 0.6667, 0.0000)  6 Th 3.16-3.18
Th (0.6152, 0.9486, 0.7784)  2 Pt 2.96, 4 Sb 3.13-3.21
Pt (0.0025, 0.9975, 0.0000)  6 Th 2.95-2.99
Sb (0.1795, 0.8205, 0.5000)  6 Th 3.19-3.30
Sb (0.8333, 0.1667, 0.5000)  6 Th 3.13-3.27

Output
ΔE to the lowest computed polymorph in meV per atom: 0
SG: C2/m (12)
Total moment in μB/atom: 0.00
Fermi-level density of states in states/eV/atom: 0.8657



Crystalline Th4SbPt at its relaxed geometry. Source: Alexandria via LeMat-Bulk, functional PBE-GGA.

Lattice parameters (Å, degrees): 6.9744 7.3021 7.7331 90.00 89.05 90.00
Last column: nearest neighbours and their distance in Å.
Sites, in units of the cell vectors:
Th (0.8805, 0.6268, 0.1686)  1 Pt 2.86, 2 Sb 3.12-3.13
Th (0.6417, 0.6484, 0.6372)  2 Pt 2.91-2.95, 1 Sb 3.15
Sb (0.5000, 0.5000, 0.0000)  6 Th 3.12-3.15
Pt (0.0000, 0.5000, 0.5000)  6 Th 2.86-2.95
Th (0.8583, 0.1484, 0.3628)  2 Pt 2.91-2.95, 1 Sb 3.15
Th (0.1195, 0.3732, 0.8314)  1 Pt 2.86, 2 Sb 3.12-3.13
Th (0.3583, 0.3516, 0.3628)  2 Pt 2.91-2.95, 1 Sb 3.15
Pt (0.5000, 0.0000, 0.5000)  6 Th 2.86-2.95
Th (0.3805, 0.8732, 0.1686)  1 Pt 2.86, 2 Sb 3.12-3.13
Sb (0.0000, 0.0000, 0.0000)  6 Th 3.12-3.15
Th (0.6195, 0.1268, 0.8314)  1 Pt 2.86, 2 Sb 3.12-3.13
Th (0.1417, 0.8516, 0.6372)  2 Pt 2.91-2.95, 1 Sb 3.15

Output
SG: P2_1/c (14)
Total moment in μB/atom: 0.00
Fermi-level density of states in states/eV/atom: 1.3126



Crystalline Th3Sb4Pt3 at its relaxed geometry. Source: Alexandria via LeMat-Bulk, functional PBE-GGA.

Lattice parameters (Å, degrees): 8.6146 8.6146 8.6146 109.47 109.47 109.47
Last column: nearest neighbours and their distance in Å.
Sites, in units of the cell vectors:
Sb (0.5000, 0.8268, 0.5000)  3 Pt 2.80
Pt (0.3750, 0.2500, 0.1250)  4 Sb 2.80, 4 Th 3.05
Sb (0.8268, 0.5000, 0.0000)  3 Pt 2.80
Th (0.1250, 0.3750, 0.2500)  4 Pt 3.05, 4 Sb 3.41
Th (0.8750, 0.2500, 0.6250)  4 Pt 3.05, 4 Sb 3.41
Sb (0.5000, 0.3268, 0.5000)  3 Pt 2.80
Sb (0.0000, 0.0000, 0.3268)  3 Pt 2.80
Pt (0.1250, 0.7500, 0.3750)  4 Sb 2.80, 4 Th 3.05
Th (0.3750, 0.1250, 0.7500)  4 Pt 3.05, 4 Sb 3.41
Pt (0.6250, 0.8750, 0.2500)  4 Sb 2.80, 4 Th 3.05
Pt (0.2500, 0.3750, 0.6250)  4 Sb 2.80, 4 Th 3.05
Sb (0.0000, 0.0000, 0.8268)  3 Pt 2.80
Pt (0.8750, 0.6250, 0.7500)  4 Sb 2.80, 4 Th 3.05
Th (0.6250, 0.7500, 0.8750)  4 Pt 3.05, 4 Sb 3.41
Th (0.7500, 0.6250, 0.3750)  4 Pt 3.05, 4 Sb 3.41
Sb (0.6732, 0.1732, 0.1732)  3 Pt 2.80
Sb (0.3268, 0.5000, 0.0000)  3 Pt 2.80
Th (0.2500, 0.8750, 0.1250)  4 Pt 3.05, 4 Sb 3.41
Sb (0.1732, 0.6732, 0.6732)  3 Pt 2.80
Pt (0.7500, 0.1250, 0.8750)  4 Sb 2.80, 4 Th 3.05

Output
SG: I-43d (220)
Total moment in μB/atom: 0.00



Crystalline Th2SbPt at its relaxed geometry. Source: Alexandria via LeMat-Bulk, functional PBE-GGA.

Lattice parameters (Å, degrees): 4.2572 6.3052 8.8468 112.46 90.00 90.00
Last column: nearest neighbours and their distance in Å.
Sites, in units of the cell vectors:
Th (0.7500, 0.2249, 0.9096)  2 Pt 3.03, 4 Sb 3.24-3.34
Sb (0.7500, 0.6715, 0.7943)  2 Pt 2.96, 5 Th 3.24-3.27
Pt (0.7500, 0.6823, 0.3011)  2 Sb 2.96, 5 Th 3.00-3.06
Th (0.2500, 0.7751, 0.0904)  2 Pt 3.03, 4 Sb 3.24-3.34
Sb (0.2500, 0.3285, 0.2057)  2 Pt 2.96, 5 Th 3.24-3.27
Th (0.7500, 0.2068, 0.4414)  3 Pt 3.00-3.06, 2 Sb 3.27
Th (0.2500, 0.7932, 0.5586)  3 Pt 3.00-3.06, 2 Sb 3.27
Pt (0.2500, 0.3177, 0.6989)  2 Sb 2.96, 5 Th 3.00-3.06

Output
SG: P2_1/m (11)
Total moment in μB/atom: 0.00
Fermi-level density of states in states/eV/atom: 1.0061



Which VASP energy belongs to each record? In order, -6.965, -6.459, -7.048, -7.004, -7.267, -6.665, -7.065, -7.024, -6.840, -7.248 eV/atom.